An optimized crystal structure of RbV2O. Source: Alexandria via LeMat-Bulk, functional GGA+U.

Cell: 6.5961 6.5961 6.5963 Å, 60.00 60.00 90.00°
Last column: nearest neighbours and their distance in Å.
Element x y z (fractional)
1 V 0.3749 0.6250 0.2500  2 O 2.02
2 V 0.3750 0.6249 0.7500  2 O 2.02
3 V 0.8750 0.6251 0.7500  2 O 2.02
4 V 0.3751 0.1250 0.2500  2 O 2.02
5 Rb 0.7500 0.2500 0.5000  12 V 3.87, 4 O 4.04, 4 Rb 4.04
6 Rb 0.0000 0.0000 0.0000  12 V 3.87, 4 O 4.04, 4 Rb 4.04
7 O 0.2500 0.7500 0.5000  4 V 2.02
8 O 0.5000 0.5000 0.0000  4 V 2.02

## Properties
total magnetization = 1.7029 μB per atom
E_tot = -41.70 eV per cell